# 1
## NdSbN2O (PBE-GGA)

Data for an optimized crystal structure of NdSbN2O.

Geometry as extended XYZ:
```
30
Lattice="5.740 0.000 0.000 -2.870 4.971 0.000 0.000 0.000 14.182" Properties=species:S:1:pos:R:3 pbc="T T T"
N 0.000 1.568 1.268
N -1.513 4.187 1.268
N 1.513 4.187 1.268
N 0.000 1.568 5.823
N -1.513 4.187 5.823
N 1.513 4.187 5.823
N 1.358 0.784 8.359
N 4.383 0.784 8.359
N 2.870 3.404 8.359
N 1.358 0.784 12.914
N 4.383 0.784 12.914
N 2.870 3.404 12.914
Nd 2.870 1.657 1.328
Nd 0.000 0.000 3.545
Nd 2.870 1.657 5.763
Nd 0.000 3.314 8.418
Nd 0.000 0.000 10.636
Nd 0.000 3.314 12.854
O -1.377 2.519 3.545
O 1.377 2.519 3.545
O 0.000 4.904 3.545
O 2.870 0.067 10.636
O 1.493 2.452 10.636
O 4.247 2.452 10.636
Sb 0.000 0.000 0.000
Sb 0.000 3.314 2.107
Sb 0.000 3.314 4.984
Sb 0.000 0.000 7.091
Sb 2.870 1.657 9.198
Sb 2.870 1.657 12.075
```

Values from the calculation:
Symmetry   No. 194

# 2
## NdSbN2O (PBE-GGA)

Data for an optimized crystal structure of NdSbN2O.

Geometry as extended XYZ:
```
10
Lattice="5.723 0.000 0.000 0.000 3.958 0.000 0.000 0.000 5.778" Properties=species:S:1:pos:R:3 pbc="T T T"
N 0.000 1.979 0.000
N 2.861 1.979 0.000
N 1.431 0.000 1.804
N 4.292 0.000 3.973
Nd 4.292 0.000 1.508
Nd 1.431 0.000 4.270
O 0.000 1.979 2.889
O 2.861 1.979 2.889
Sb 1.431 1.979 1.392
Sb 4.292 1.979 4.386
```

Values from the calculation:
Symmetry   No. 51

# 3
## NdSbN2O (PBE-GGA)

Data for an optimized crystal structure of NdSbN2O.

Geometry as extended XYZ:
```
40
Lattice="8.023 0.000 0.000 -0.103 8.126 0.000 -0.002 -0.002 8.135" Properties=species:S:1:pos:R:3 pbc="T T T"
N 4.120 6.508 0.334
N 5.796 4.064 0.431
N 0.186 2.313 0.469
N 6.599 6.462 2.015
N 1.864 5.523 2.032
N 1.797 8.116 3.590
N 0.194 2.409 3.629
N 4.123 6.334 3.670
N 4.203 1.787 4.465
N 0.109 5.715 4.505
N 6.529 0.007 4.546
N 6.460 2.602 6.102
N 1.727 1.660 6.120
N 0.115 5.811 7.667
N 2.529 4.061 7.704
N 4.205 1.616 7.800
Nd 4.036 0.119 2.025
Nd 0.089 0.303 2.026
Nd 7.903 4.190 2.040
Nd 4.018 4.273 2.050
Nd 4.306 3.852 6.082
Nd 0.422 3.934 6.095
Nd 4.290 8.006 6.110
Nd 0.213 7.821 6.111
O 1.795 8.119 0.421
O 5.945 1.597 2.045
O 2.659 2.265 2.048
O 5.857 4.060 3.662
O 2.467 4.064 4.469
O 5.666 5.859 6.087
O 2.381 6.529 6.091
O 6.530 0.006 7.716
Sb 6.130 6.053 0.057
Sb 2.119 6.015 0.062
Sb 2.080 6.130 3.973
Sb 6.160 6.182 3.998
Sb 2.166 1.943 4.136
Sb 6.246 1.994 4.160
Sb 6.205 2.110 8.073
Sb 2.194 2.071 8.078
```

Values from the calculation:
Symmetry   No. 2

# 4
## NdSbN2O (PBE-GGA)

Data for an optimized crystal structure of NdSbN2O.

Geometry as extended XYZ:
```
20
Lattice="8.197 0.000 0.000 0.000 5.634 0.000 0.000 0.000 5.748" Properties=species:S:1:pos:R:3 pbc="T T T"
N 2.471 0.248 1.050
N 5.726 0.248 1.050
N 1.629 3.066 1.549
N 6.568 3.066 1.549
N 2.471 5.386 3.924
N 5.726 5.386 3.924
N 1.629 2.569 4.423
N 6.568 2.569 4.423
Nd 0.000 1.515 0.149
Nd 4.098 4.330 2.450
Nd 0.000 4.119 3.023
Nd 4.098 1.304 5.324
O 0.000 0.860 2.600
O 4.098 1.957 2.873
O 0.000 4.774 5.474
O 4.098 3.677 5.747
Sb 2.050 1.408 2.737
Sb 6.147 1.408 2.737
Sb 2.050 4.226 5.611
Sb 6.147 4.226 5.611
```

Values from the calculation:
Symmetry   No. 62

# 5
## NdSbN2O (PBE-GGA)

Data for an optimized crystal structure of NdSbN2O.

Geometry as extended XYZ:
```
20
Lattice="-2.733 1.362 4.874 2.779 -0.356 5.036 2.775 9.134 2.331" Properties=species:S:1:pos:R:3 pbc="T T T"
N 1.425 1.113 4.538
N -1.253 2.254 3.634
N -0.113 4.301 7.360
N 0.693 4.039 4.540
N 2.120 6.005 7.880
N 0.219 6.791 5.662
N 2.886 5.910 4.937
N 2.195 9.252 10.332
Nd 0.326 1.930 6.530
Nd 1.103 4.304 9.510
Nd 1.679 5.726 2.826
Nd 2.476 8.327 5.629
O 0.595 0.949 1.649
O 2.694 3.473 6.715
O 4.190 7.836 8.453
O 1.355 8.933 7.692
Sb 0.734 2.511 3.182
Sb 1.372 5.158 6.129
Sb 2.089 7.533 9.241
Sb 2.831 10.115 12.088
```

Values from the calculation:
Symmetry   No. 1

# 6
## NdSbNO (PBE-GGA)

Data for an optimized crystal structure of NdSbNO.

Geometry as extended XYZ:
```
8
Lattice="-1.986 -3.441 0.000 0.000 0.000 6.456 -5.549 3.204 0.000" Properties=species:S:1:pos:R:3 pbc="T T T"
N -2.229 1.287 5.794
N -3.320 1.917 2.566
Nd -2.111 -1.075 6.369
Nd -5.425 0.838 3.141
O -1.463 -1.449 1.952
O -6.073 1.212 5.180
Sb -1.795 1.036 3.665
Sb -3.755 2.168 0.437
```

Values from the calculation:
Symmetry   No. 26
Energy above the lowest structure with this stoichiometry   241.6 meV/atom

no.,magnetization (Bohr magnetons per cell),calculated total energy (eV/atom)
1,0.01,-6.75
2,0.00,-6.86
3,0.02,-7.01
4,0.01,-7.01
5,0.01,-6.99
6,0.00,-6.66